No. 1
This record from Alexandria describes an optimized crystal structure of Zn3AsW. The functional is GGA-PBEsol.

Computed properties:
**DFT formation energy**: 1.419 eV/atom
**Crystal system**: cubic

Lattice parameters (Å, degrees): 4.7945 4.7945 4.7945 90.00 90.00 90.00
Element x y z (fractional)
Zn1 0.5000 0.0000 0.0000
Zn2 0.0000 0.0000 0.5000
Zn3 0.0000 0.5000 0.0000
W1 0.0000 0.0000 0.0000
As1 0.5000 0.5000 0.5000


No. 2
This record from Alexandria describes an optimized crystal structure of CoNiIr2. The functional is GGA-PBEsol.

Computed properties:
**DFT formation energy**: -0.006 eV/atom
**Energy above the lowest structure with this stoichiometry**: 0 meV per atom
**Crystal system**: tetragonal

Lattice parameters (Å, degrees): 3.6099 3.6099 4.5213 113.53 113.53 90.00
Element x y z (fractional)
Ir1 0.7500 0.2500 0.5000
Ir2 0.0000 0.0000 0.0000
Ni1 0.5000 0.5000 0.0000
Co1 0.2500 0.7500 0.5000


No. 3
This record from Alexandria describes an optimized crystal structure of ZnRh2Au. The functional is GGA-PBEsol.

Computed properties:
**DFT formation energy**: -0.029 eV/atom
**Crystal system**: orthorhombic

Lattice parameters (Å, degrees): 2.7852 4.5080 5.2527 115.41 105.37 90.00
Element x y z (fractional)
Au1 0.5000 0.0000 0.0000
Zn1 0.0000 0.5000 0.0000
Rh1 0.2685 0.2685 0.5369
Rh2 0.7315 0.7315 0.4631


No. 4
This record from Alexandria describes an optimized crystal structure of RbSr2Cl5. The functional is GGA-PBEsol.

Computed properties:
**Energy relative to the elements, uncorrected**: -2.3702 eV/atom
**Crystal system**: monoclinic

Lattice parameters (Å, degrees): 7.8312 8.9432 12.5763 90.20 90.00 90.00
Element x y z (fractional)
Cl1 0.3393 0.0385 0.3996
Cl2 0.9508 0.2118 0.5027
Cl3 0.1915 0.7747 0.2164
Cl4 0.8085 0.2253 0.7836
Cl5 0.6673 0.7890 0.3159
Cl6 0.8277 0.5354 0.0809
Cl7 0.4508 0.7882 0.9973
Cl8 0.8393 0.9615 0.1004
Cl9 0.5492 0.2118 0.0027
Cl10 0.3277 0.4646 0.4191
Cl11 0.6607 0.9615 0.6004
Cl12 0.3327 0.2110 0.6841
Cl13 0.3085 0.7747 0.7164
Cl14 0.6723 0.5354 0.5809
Cl15 0.1673 0.2110 0.1841
Cl16 0.1723 0.4646 0.9191
Cl17 0.1607 0.0385 0.8996
Cl18 0.8327 0.7890 0.8159
Cl19 0.0492 0.7882 0.4973
Cl20 0.6915 0.2253 0.2836
Sr1 0.4757 0.9988 0.1775
Sr2 0.4326 0.7531 0.4935
Sr3 0.5674 0.2469 0.5065
Sr4 0.0243 0.9988 0.6775
Sr5 0.9326 0.2469 0.0065
Sr6 0.0674 0.7531 0.9935
Sr7 0.5243 0.0012 0.8225
Sr8 0.9757 0.0012 0.3225
Rb1 0.4468 0.4894 0.1668
Rb2 0.5532 0.5106 0.8332
Rb3 0.9468 0.5106 0.3332
Rb4 0.0532 0.4894 0.6668